Computed, not measured: a relaxed structure of MnGeI2O at the GGA+U level of DFT.

Calculated values
space-group type = No. 123
final energy = -0.1537 hartree per atom
polymorph energy (0 for the lowest one) = 104 meV per atom
theoretical density = 4.90 g cm⁻³
spin magnetization = 5.52 Bohr magnetons per cell

abc: 5.949 5.949 3.805
angles: 90.00 90.00 90.00
Each line ends with the local moment (μB).
Atoms (fractional coordinates):
1 O 0.000 0.000 0.500  -0.01
2 I 0.000 0.500 0.000  0.04
3 I 0.500 0.000 0.000  0.04
4 Mn 0.500 0.500 0.500  4.85
5 Ge 0.000 0.000 0.000  0.00